Entry 1:
DFT (PBE-GGA) results for a relaxed structure of Y3Ru5.

## Properties
Space group: P6_3/mcm (193)
Calculated total energy, eV/atom: -8.079
Calculated formation energy, eV per atom: 0.142
ΔE to the lowest computed polymorph, eV/atom: 0.1652

The structure in POSCAR format:
```
Y3Ru5
1.0
8.734 0.000 0.000
4.367 7.564 0.000
0.000 0.000 4.890
Ru Y
10 6
direct
0.000 0.168 0.750 Ru
0.333 0.333 0.000 Ru
0.333 0.333 0.500 Ru
0.832 0.000 0.750 Ru
0.667 0.667 0.500 Ru
0.667 0.667 0.000 Ru
0.000 0.832 0.250 Ru
0.168 0.832 0.750 Ru
0.832 0.168 0.250 Ru
0.168 0.000 0.250 Ru
0.000 0.625 0.750 Y
0.625 0.000 0.250 Y
0.000 0.375 0.250 Y
0.375 0.000 0.750 Y
0.375 0.625 0.250 Y
0.625 0.375 0.750 Y
```

***

Entry 2:
DFT (PBE-GGA) results for a relaxed structure of BaNaIn2Cu.

## Properties
Space group: P4/mmm (123)
Calculated total energy, eV/atom: -2.675
Calculated formation energy, eV per atom: -0.112

The structure in POSCAR format:
```
BaNaIn2Cu
1.0
-1.648 4.863 -0.590
-2.918 -1.475 -4.003
-4.162 -0.998 3.401
Ba Na Cu In
1 1 1 2
direct
0.500 0.500 0.500 Ba
0.000 0.000 0.500 Na
0.000 0.000 0.000 Cu
0.000 0.500 0.000 In
0.500 0.000 0.000 In
```

***

Entry 3:
DFT (PBE-GGA) results for a relaxed structure of Pm6Y2Er5.

## Properties
Space group: Pbam (55)
Calculated total energy, eV/atom: -4.842
Calculated formation energy, eV per atom: 0.100

The structure in POSCAR format:
```
Pm6Y2Er5
1.0
-3.016 -1.171 -1.604
3.993 -10.995 0.521
-8.811 -2.334 18.270
Pm Er Y
12 10 4
direct
0.000 0.583 0.134 Pm
0.500 0.173 0.632 Pm
0.000 0.559 0.420 Pm
0.500 0.673 0.868 Pm
0.500 0.327 0.132 Pm
0.000 0.417 0.866 Pm
0.500 0.827 0.368 Pm
0.000 0.441 0.580 Pm
0.000 0.941 0.920 Pm
0.000 0.083 0.366 Pm
0.000 0.059 0.080 Pm
0.000 0.917 0.634 Pm
0.500 0.596 0.275 Er
0.500 0.500 0.000 Er
0.500 0.096 0.225 Er
0.500 0.000 0.500 Er
0.500 0.801 0.055 Er
0.500 0.404 0.725 Er
0.500 0.301 0.445 Er
0.500 0.699 0.555 Er
0.500 0.199 0.945 Er
0.500 0.904 0.775 Er
0.000 0.664 0.711 Y
0.000 0.836 0.211 Y
0.000 0.164 0.789 Y
0.000 0.336 0.289 Y
```

***

Entry 4:
DFT (PBE-GGA) results for a relaxed structure of Cu3O2F2.

## Properties
Space group: P2_1/c (14)
Formation energy from raw total energies, kJ/mol of formula units: -641
Calculated total energy, eV/atom: -4.656
ΔE to the lowest computed polymorph, eV/atom: 0.0000

The structure in POSCAR format:
```
Cu3O2F2
1.0
-5.306 1.870 -2.332
-2.601 -2.514 3.903
-0.991 3.028 4.683
O F Cu
4 4 6
direct
0.624 0.471 0.320 O
0.376 0.529 0.680 O
0.876 0.971 0.320 O
0.124 0.029 0.680 O
0.616 0.878 0.779 F
0.116 0.622 0.221 F
0.384 0.122 0.221 F
0.884 0.378 0.779 F
0.380 0.250 0.535 Cu
0.620 0.750 0.465 Cu
0.880 0.250 0.465 Cu
0.500 0.500 0.000 Cu
0.000 0.000 0.000 Cu
0.120 0.750 0.535 Cu
```

***

Entry 5:
DFT (PBE-GGA) results for a relaxed structure of K2NiSe.

## Properties
Space group: Imm2 (44)
Formation energy from raw total energies, kJ/mol of formula units: -169
Calculated total energy, eV/atom: -3.304

The structure in POSCAR format:
```
K2NiSe
1.0
-2.070 1.566 -5.357
-5.785 -1.403 -0.025
2.657 2.638 4.628
K Ni Se
2 1 1
direct
0.037 0.037 0.000 K
0.217 0.717 0.500 K
0.404 0.404 0.000 Ni
0.842 0.342 0.500 Se
```

***

Entry 6:
DFT (PBE-GGA) results for a relaxed structure of BaScBeNi2.

## Properties
Space group: P4/mmm (123)
Calculated total energy, eV/atom: -4.341
Calculated formation energy, eV per atom: 0.368

The structure in POSCAR format:
```
BaScBeNi2
1.0
4.459 0.000 0.000
0.000 4.718 0.000
0.000 0.000 4.459
Sc Ni Be Ba
1 2 1 1
direct
0.000 0.500 0.000 Sc
0.500 0.000 0.000 Ni
0.000 0.000 0.500 Ni
0.000 0.000 0.000 Be
0.500 0.500 0.500 Ba
```